Crystalline Ta4In2S7 at its relaxed geometry. Source: Alexandria via LeMat-Bulk, functional GGA-PBE.

abc: 5.0244 6.5392 8.2309
angles: 91.32 90.12 105.95
Positions (direct):
Ta1 0.0232 0.0083 0.3086
Ta2 0.2233 0.7001 0.5238
Ta3 0.7767 0.2999 0.4762
Ta4 0.9768 0.9917 0.6914
In1 0.3553 0.6952 0.0129
In2 0.6447 0.3048 0.9871
S1 0.0000 0.0000 0.0000
S2 0.0710 0.3916 0.7247
S3 0.3073 0.3540 0.3738
S4 0.4853 0.0501 0.6825
S5 0.5147 0.9499 0.3175
S6 0.6927 0.6460 0.6262
S7 0.9290 0.6084 0.2753

Energy relative to the elements, uncorrected (meV/atom): -600
Total moment (μB per cell): 0.0
E_tot (hartree per atom): -0.2532
Crystal system: triclinic